Entry a
{"formula": "Bi2ClO2", "functional": "PBE", "state": "relaxed", "lattice_angstrom": [[4.169, 0.443, -0.195], [-0.452, 4.168, -0.195], [-1.644, -2.039, 5.823]], "species": ["O", "Bi", "O", "Bi", "Cl"], "fractional_positions": [[0.751, 0.249, 0.500], [0.654, 0.654, 0.309], [0.249, 0.751, 0.500], [0.346, 0.346, 0.691], [0.000, 0.000, 0.000]], "spacegroup": "No. 12"}

=====

Entry b
{"formula": "Bi2ClO2", "functional": "PBE", "state": "relaxed", "lattice_angstrom": [[5.709, -0.396, -1.481], [-2.594, 4.661, -2.447], [0.271, 1.158, 6.968]], "species": ["Cl", "Bi", "Cl", "Bi", "Bi", "O", "O", "O", "O", "Bi"], "fractional_positions": [[0.882, 0.132, 0.755], [0.533, 0.414, 0.731], [0.118, 0.868, 0.245], [0.184, 0.803, 0.769], [0.467, 0.586, 0.269], [0.267, 0.519, 0.530], [0.488, 0.736, 0.969], [0.512, 0.264, 0.031], [0.733, 0.481, 0.470], [0.816, 0.197, 0.231]], "spacegroup": "No. 2"}

=====

Stability summary: most stable entry a, least stable entry b.